No. 1
First-principles (PBE) data for an optimized crystal structure of AgBi2I6, as listed in Alexandria.

Properties
DOS at the Fermi energy in states/eV per atom: 0.59
Volume in Å³/cell: 776.01
Final energy in eV/cell: -44.823
Raw formation energy in eV/atom: -0.28

Lattice parameters (Å, degrees): 7.617 7.617 13.374 90.00 90.00 90.00
Atoms (fractional coordinates):
Ag (0.000, 0.000, 0.000)
Ag (0.500, 0.500, 0.500)
Bi (0.000, 0.000, 0.332)
Bi (0.000, 0.000, 0.668)
Bi (0.500, 0.500, 0.168)
Bi (0.500, 0.500, 0.832)
I (0.196, 0.196, 0.162)
I (0.196, 0.196, 0.838)
I (0.206, 0.206, 0.500)
I (0.294, 0.706, 0.000)
I (0.304, 0.696, 0.338)
I (0.304, 0.696, 0.662)
I (0.696, 0.304, 0.338)
I (0.696, 0.304, 0.662)
I (0.706, 0.294, 0.000)
I (0.794, 0.794, 0.500)
I (0.804, 0.804, 0.162)
I (0.804, 0.804, 0.838)


No. 2
First-principles (PBE) data for an optimized crystal structure of NaSr2CaH, as listed in Alexandria.

Properties
Relative energy among the computed polymorphs in kJ/mol of atoms: 0.0
DOS at the Fermi energy in states/eV per atom: 0.76
Volume in Å³/cell: 174.11
Final energy in eV/cell: -10.444

Lattice parameters (Å, degrees): 6.000 6.000 4.837 90.00 90.00 90.00
Atoms (fractional coordinates):
Na (0.000, 0.000, 0.000)
Sr (0.000, 0.500, 0.500)
Sr (0.500, 0.000, 0.500)
Ca (0.500, 0.500, 0.000)
H (0.500, 0.500, 0.500)


No. 3
First-principles (PBE) data for an optimized crystal structure of BeRe2Pb, as listed in Alexandria.

Properties
Relative energy among the computed polymorphs in kJ/mol of atoms: 37.0
DOS at the Fermi energy in states/eV per atom: 0.70
Volume in Å³/cell: 123.19
Final energy in eV/cell: -58.990
Formation energy from the elements in eV per formula unit: 2.84

Lattice parameters (Å, degrees): 3.035 4.578 8.864 90.00 90.00 90.00
Atoms (fractional coordinates):
Be (0.000, 0.000, 0.000)
Be (0.500, 0.500, 0.500)
Re (0.000, 0.500, 0.293)
Re (0.000, 0.500, 0.707)
Re (0.500, 0.000, 0.207)
Re (0.500, 0.000, 0.793)
Pb (0.000, 0.000, 0.500)
Pb (0.500, 0.500, 0.000)


No. 4
First-principles (PBE) data for an optimized crystal structure of GaCoMo2H, as listed in Alexandria.

Properties
DOS at the Fermi energy in states/eV per atom: 0.70
Volume in Å³/cell: 59.22
Final energy in eV/cell: -34.864

Lattice parameters (Å, degrees): 3.844 3.844 4.008 90.00 90.00 90.00
Atoms (fractional coordinates):
Ga (0.000, 0.000, 0.000)
Co (0.500, 0.500, 0.000)
Mo (0.000, 0.500, 0.500)
Mo (0.500, 0.000, 0.500)
H (0.500, 0.500, 0.500)


No. 5
First-principles (PBE) data for an optimized crystal structure of Tl2IrSe, as listed in Alexandria.

Properties
Relative energy among the computed polymorphs in kJ/mol of atoms: 52.3
DOS at the Fermi energy in states/eV per atom: 0.72
Volume in Å³/cell: 88.57
Final energy in eV/cell: -14.665
Raw formation energy in eV/atom: 0.60

Lattice parameters (Å, degrees): 3.823 4.563 5.077 90.00 90.00 90.00
Atoms (fractional coordinates):
Tl (0.000, 0.000, 0.000)
Tl (0.500, 0.000, 0.500)
Ir (0.000, 0.500, 0.500)
Se (0.500, 0.500, 0.000)


No. 6
First-principles (PBE) data for an optimized crystal structure of LiTmNbIr, as listed in Alexandria.

Properties
DOS at the Fermi energy in states/eV per atom: 0.56
Volume in Å³/cell: 286.53
Final energy in eV/cell: -105.780
Formation energy from the elements in eV per formula unit: -1.13

Lattice parameters (Å, degrees): 6.593 6.593 6.593 90.00 90.00 90.00
Atoms (fractional coordinates):
Li (0.000, 0.000, 0.000)
Li (0.000, 0.500, 0.500)
Li (0.500, 0.000, 0.500)
Li (0.500, 0.500, 0.000)
Tm (0.250, 0.250, 0.750)
Tm (0.250, 0.750, 0.250)
Tm (0.750, 0.250, 0.250)
Tm (0.750, 0.750, 0.750)
Nb (0.250, 0.250, 0.250)
Nb (0.250, 0.750, 0.750)
Nb (0.750, 0.250, 0.750)
Nb (0.750, 0.750, 0.250)
Ir (0.000, 0.000, 0.500)
Ir (0.000, 0.500, 0.000)
Ir (0.500, 0.000, 0.000)
Ir (0.500, 0.500, 0.500)


No. 7
First-principles (PBE) data for an optimized crystal structure of Hf3CdC, as listed in Alexandria.

Properties
Relative energy among the computed polymorphs in kJ/mol of atoms: 43.6
DOS at the Fermi energy in states/eV per atom: 0.82
Volume in Å³/cell: 206.75
Final energy in eV/cell: -79.817
Formation energy from the elements in eV per formula unit: 0.09

Lattice parameters (Å, degrees): 7.633 7.633 7.633 142.80 64.95 128.83
Atoms (fractional coordinates):
Hf (0.168, 0.418, 0.750)
Hf (0.234, 0.110, 0.124)
Hf (0.487, 0.110, 0.376)
Hf (0.513, 0.890, 0.624)
Hf (0.766, 0.890, 0.876)
Hf (0.832, 0.582, 0.250)
Cd (0.000, 0.500, 0.500)
Cd (0.500, 0.500, 0.000)
C (0.155, 0.905, 0.250)
C (0.845, 0.095, 0.750)


No. 8
First-principles (PBE) data for an optimized crystal structure of Na2MnBP, as listed in Alexandria.

Properties
DOS at the Fermi energy in states/eV per atom: 1.00
Volume in Å³/cell: 113.43
Final energy in eV/cell: -19.908
Formation energy from the elements in eV per formula unit: 3.99

Lattice parameters (Å, degrees): 5.707 5.707 3.482 90.00 90.00 90.00
Atoms (fractional coordinates):
Na (0.000, 0.500, 0.000)
Na (0.500, 0.000, 0.000)
Mn (0.000, 0.000, 0.500)
B (0.500, 0.500, 0.500)
P (0.500, 0.500, 0.000)